Record 1
Material: GaB2As
Method: DFT, PBE
State: relaxed

Computed properties:
The value obtained for the mass density is 4.8 g/cm³. The calculated total energy is -4.770 eV per atom. The energy of formation from the pure elements comes out at 0.49 eV per atom.

The structure in CIF format:
```
data_GaB2As
_chemical_formula_sum 'Ga2 B4 As2'
_symmetry_space_group_name_H-M 'P 1'
_symmetry_Int_Tables_number 1
_cell_length_a 4.993
_cell_length_b 4.993
_cell_length_c 5.821
_cell_angle_alpha 64.61
_cell_angle_beta 64.61
_cell_angle_gamma 90.00
loop_
_symmetry_equiv_pos_as_xyz
'x,y,z'
loop_
_atom_site_label
_atom_site_fract_x
_atom_site_fract_y
_atom_site_fract_z
Ga1 0.500 0.500 0.000
Ga2 0.250 0.750 0.500
As1 0.000 0.000 0.000
As2 0.750 0.250 0.500
B1 0.375 0.358 0.750
B2 0.642 0.125 0.250
B3 0.108 0.625 0.250
B4 0.875 0.892 0.750
```

Record 2
Material: Sc2MnHg
Method: DFT, PBE
State: relaxed

Computed properties:
The value obtained for the mass density is 6.7 g/cm³. The calculated total energy is -5.291 eV per atom. The energy of formation from the pure elements comes out at 0.24 eV per atom.

The structure in CIF format:
```
data_Sc2MnHg
_chemical_formula_sum 'Sc2 Mn1 Hg1'
_symmetry_space_group_name_H-M 'P 1'
_symmetry_Int_Tables_number 1
_cell_length_a 9.823
_cell_length_b 9.823
_cell_length_c 9.823
_cell_angle_alpha 18.82
_cell_angle_beta 18.82
_cell_angle_gamma 18.82
loop_
_symmetry_equiv_pos_as_xyz
'x,y,z'
loop_
_atom_site_label
_atom_site_fract_x
_atom_site_fract_y
_atom_site_fract_z
Hg1 0.000 0.000 0.000
Sc1 0.895 0.895 0.895
Sc2 0.105 0.105 0.105
Mn1 0.500 0.500 0.500
```

Record 3
Material: Tb7Ni2Rh2
Method: DFT, PBE
State: relaxed

Computed properties:
The value obtained for the mass density is 8.1 g/cm³. The calculated total energy is -5.596 eV per atom. The energy of formation from the pure elements comes out at -0.26 eV per atom.

The structure in CIF format:
```
data_Tb7Ni2Rh2
_chemical_formula_sum 'Tb7 Ni2 Rh2'
_symmetry_space_group_name_H-M 'P 1'
_symmetry_Int_Tables_number 1
_cell_length_a 6.632
_cell_length_b 6.885
_cell_length_c 6.632
_cell_angle_alpha 90.00
_cell_angle_beta 103.04
_cell_angle_gamma 90.00
loop_
_symmetry_equiv_pos_as_xyz
'x,y,z'
loop_
_atom_site_label
_atom_site_fract_x
_atom_site_fract_y
_atom_site_fract_z
Rh1 0.278 0.000 0.722
Rh2 0.722 0.000 0.278
Tb1 0.000 0.263 0.500
Tb2 0.500 0.737 0.000
Tb3 0.500 0.263 0.000
Tb4 0.000 0.737 0.500
Tb5 0.500 0.740 0.500
Tb6 0.500 0.260 0.500
Tb7 0.000 0.000 0.000
Ni1 0.232 0.500 0.232
Ni2 0.768 0.500 0.768
```

Record 4
Material: MoSe2BrN
Method: DFT, PBE
State: relaxed

Computed properties:
The value obtained for the mass density is 5.7 g/cm³. The calculated total energy is -3.807 eV per atom. Its energy relative to the elements, uncorrected is 169.1 kJ per mole of atoms.

The structure in CIF format:
```
data_MoSe2BrN
_chemical_formula_sum 'Mo1 Se2 Br1 N1'
_symmetry_space_group_name_H-M 'P 1'
_symmetry_Int_Tables_number 1
_cell_length_a 5.241
_cell_length_b 5.241
_cell_length_c 3.694
_cell_angle_alpha 90.00
_cell_angle_beta 90.00
_cell_angle_gamma 90.00
loop_
_symmetry_equiv_pos_as_xyz
'x,y,z'
loop_
_atom_site_label
_atom_site_fract_x
_atom_site_fract_y
_atom_site_fract_z
Se1 0.500 0.000 0.000
Se2 0.000 0.500 0.000
N1 0.000 0.000 0.500
Mo1 0.500 0.500 0.500
Br1 0.000 0.000 0.000
```

Record 5
Material: BeBC2N
Method: DFT, PBE
State: relaxed

Computed properties:
The value obtained for the mass density is 2.2 g/cm³. The calculated total energy is -5.285 eV per atom. Its energy relative to the elements, uncorrected is 207.4 kJ per mole of atoms.

The structure in CIF format:
```
data_BeBC2N
_chemical_formula_sum 'Be1 B1 C2 N1'
_symmetry_space_group_name_H-M 'P 1'
_symmetry_Int_Tables_number 1
_cell_length_a 4.088
_cell_length_b 2.620
_cell_length_c 4.088
_cell_angle_alpha 90.00
_cell_angle_beta 90.00
_cell_angle_gamma 90.00
loop_
_symmetry_equiv_pos_as_xyz
'x,y,z'
loop_
_atom_site_label
_atom_site_fract_x
_atom_site_fract_y
_atom_site_fract_z
Be1 0.500 0.500 0.500
B1 0.000 0.500 0.000
N1 0.000 0.000 0.000
C1 0.000 0.000 0.500
C2 0.500 0.000 0.000
```

Record 6
Material: Li2IrAu
Method: DFT, PBE
State: relaxed

Computed properties:
The value obtained for the mass density is 12.4 g/cm³. The calculated total energy is -4.120 eV per atom. The energy of formation from the pure elements comes out at -0.13 eV per atom.

The structure in CIF format:
```
data_Li2IrAu
_chemical_formula_sum 'Li2 Ir1 Au1'
_symmetry_space_group_name_H-M 'P 1'
_symmetry_Int_Tables_number 1
_cell_length_a 2.974
_cell_length_b 2.974
_cell_length_c 6.087
_cell_angle_alpha 90.00
_cell_angle_beta 90.00
_cell_angle_gamma 90.00
loop_
_symmetry_equiv_pos_as_xyz
'x,y,z'
loop_
_atom_site_label
_atom_site_fract_x
_atom_site_fract_y
_atom_site_fract_z
Li1 0.000 0.000 0.992
Li2 0.000 0.000 0.508
Au1 0.500 0.500 0.250
Ir1 0.500 0.500 0.750
```

Repeat the fifth record exactly.
Material: BeBC2N
Method: DFT, PBE
State: relaxed

Computed properties:
The value obtained for the mass density is 2.2 g/cm³. The calculated total energy is -5.285 eV per atom. Its energy relative to the elements, uncorrected is 207.4 kJ per mole of atoms.

The structure in CIF format:
```
data_BeBC2N
_chemical_formula_sum 'Be1 B1 C2 N1'
_symmetry_space_group_name_H-M 'P 1'
_symmetry_Int_Tables_number 1
_cell_length_a 4.088
_cell_length_b 2.620
_cell_length_c 4.088
_cell_angle_alpha 90.00
_cell_angle_beta 90.00
_cell_angle_gamma 90.00
loop_
_symmetry_equiv_pos_as_xyz
'x,y,z'
loop_
_atom_site_label
_atom_site_fract_x
_atom_site_fract_y
_atom_site_fract_z
Be1 0.500 0.500 0.500
B1 0.000 0.500 0.000
N1 0.000 0.000 0.000
C1 0.000 0.000 0.500
C2 0.500 0.000 0.000
```

Which formula does entry 2 have? Sc2MnHg

The highest mass density belongs to which entry? Li2IrAu